[1]
TbPmPSe | PBE | relaxed

Geometry as POSCAR:
```
TbPmPSe
1.0
2.016 1.164 7.119
-2.016 1.164 7.119
0.000 -2.327 7.119
Tb Pm P Se
1 1 1 1
Cartesian
0.000 0.000 0.000
0.000 0.000 17.415
0.000 0.000 8.688
0.000 0.000 5.171
```

Properties
Crystal system: trigonal
M_tot in μB per cell: 0.000
Space group: R3m, No. 160
Uncorrected formation energy in kJ/mol of atoms: -165.2

---

[2]
Pm4TeP2Se | PBE | relaxed

Geometry as POSCAR:
```
Pm4TeP2Se
1.0
7.254 0.000 0.000
0.000 4.192 0.000
-2.428 0.000 7.084
Pm Te P Se
4 1 2 1
Cartesian
1.164 0.000 1.547
-0.055 2.096 5.498
4.882 2.096 1.586
3.663 0.000 5.537
2.413 2.096 3.542
0.000 2.096 0.000
3.627 0.000 0.000
-1.214 0.000 3.542
```

Properties
Crystal system: monoclinic
M_tot in μB per cell: 0.000
Space group: P2/m, No. 10
Uncorrected formation energy in kJ/mol of atoms: -161.2

---

[3]
Pm6Te3P2Se | PBE | relaxed

Geometry as POSCAR:
```
Pm6Te3P2Se
1.0
9.497 -2.124 0.000
9.497 2.124 0.000
-2.335 0.000 8.438
Pm Te P Se
6 3 2 1
Cartesian
-0.313 0.000 2.048
5.132 0.000 3.692
4.277 0.000 7.475
12.381 0.000 0.962
11.526 0.000 4.746
16.971 0.000 6.390
1.151 0.000 7.031
8.329 0.000 4.219
15.507 0.000 1.406
2.404 0.000 2.819
14.254 0.000 5.618
9.497 0.000 0.000
```

Properties
Crystal system: monoclinic
M_tot in μB per cell: 0.000
Space group: C2/m, No. 12
Uncorrected formation energy in kJ/mol of atoms: -155.8

---

[4]
Pm6TeP2Se3 | PBE | relaxed

Geometry as POSCAR:
```
Pm6TeP2Se3
1.0
9.212 -2.099 0.000
9.212 2.099 0.000
-1.924 0.000 8.299
Pm Te P Se
6 1 2 3
Cartesian
-0.322 0.000 2.267
4.274 0.000 7.376
5.218 0.000 3.540
11.283 0.000 4.759
12.227 0.000 0.923
16.823 0.000 6.032
9.212 0.000 0.000
2.459 0.000 2.793
14.042 0.000 5.506
1.365 0.000 6.936
8.250 0.000 4.150
15.136 0.000 1.363
```

Properties
Crystal system: monoclinic
M_tot in μB per cell: 0.000
Space group: C2/m, No. 12
Uncorrected formation energy in kJ/mol of atoms: -167.1